Record 1
Compound: PmBS3
Source: Alexandria
Functional: PBE-GGA
Structure: optimized geometry

Lattice parameters (Å, degrees): 4.3663 6.7381 6.7463 74.86 87.88 87.89
Last column: nearest neighbours and their distance in Å.
Sites, in units of the cell vectors:
Pm1 0.0041 0.1666 0.6054  8 S 2.87-3.13
Pm2 0.4806 0.7377 0.1768  8 S 2.87-3.13
B1 0.7422 0.6172 0.7264  4 S 1.91-1.96
B2 0.7425 0.2872 0.0557  4 S 1.91-1.96
S1 0.5233 0.3591 0.7980  2 B 1.95-1.96
S2 0.9614 0.5452 0.9842  2 B 1.95-1.96
S3 0.5195 0.2842 0.3057  1 B 1.91
S4 0.5190 0.8670 0.7243  1 B 1.91
S5 0.9657 0.0374 0.0580  1 B 1.91
S6 0.9652 0.6202 0.4765  1 B 1.91

Calculated values
Symmetry: No. 12
Energy relative to the elements, uncorrected, kJ/mol of atoms: -111.5


Record 2
Compound: BeMoP2Pb
Source: Alexandria
Functional: PBE-GGA
Structure: optimized geometry

Lattice parameters (Å, degrees): 4.5952 5.6726 4.5952 90.00 90.00 90.00
Last column: nearest neighbours and their distance in Å.
Sites, in units of the cell vectors:
Pb1 0.0000 0.5000 0.0000  2 Mo 2.84
P1 0.0000 0.0000 0.5000  2 Mo 2.30
P2 0.5000 0.0000 0.0000  2 Mo 2.30
Mo1 0.0000 0.0000 0.0000  4 P 2.30
Be1 0.5000 0.5000 0.5000  4 Pb 3.25

Calculated values
Symmetry: No. 123
Formation energy from the elements, meV per atom: 811.4


Record 3
Compound: TcPN2
Source: Alexandria
Functional: PBE-GGA
Structure: optimized geometry

Lattice parameters (Å, degrees): 6.3497 6.3497 6.3497 24.43 24.43 24.43
Last column: nearest neighbours and their distance in Å.
Sites, in units of the cell vectors:
P1 0.5000 0.5000 0.5000  6 N 1.83
Tc1 0.0000 0.0000 0.0000  2 N 2.11
N1 0.8855 0.8855 0.8855  3 P 1.83
N2 0.1145 0.1145 0.1145  3 P 1.83

Calculated values
Symmetry: No. 166
Energy relative to the elements, uncorrected, kJ/mol of atoms: 5.1


Record 4
Compound: AlCrIn2
Source: Alexandria
Functional: PBE-GGA
Structure: optimized geometry

Lattice parameters (Å, degrees): 5.0618 5.0618 5.1898 80.40 80.40 38.51
Last column: nearest neighbours and their distance in Å.
Sites, in units of the cell vectors:
Cr1 0.2500 0.2500 0.2500  6 In 2.92-2.99, 4 Al 3.09
Al1 0.7500 0.7500 0.7500  6 In 2.91-3.04, 4 Cr 3.09
In1 0.9977 0.9977 0.0043  3 Al 2.91-3.04, 3 Cr 2.92-2.99, 4 In 3.06-3.12
In2 0.5023 0.5023 0.4957  3 Al 2.91-3.04, 3 Cr 2.92-2.99, 4 In 3.06-3.12

Calculated values
Symmetry: No. 12
Formation energy from the elements, meV per atom: 310.4


Record 5
Compound: La2CuHRh
Source: Alexandria
Functional: PBE-GGA
Structure: optimized geometry

Lattice parameters (Å, degrees): 5.2324 5.2324 3.6354 90.00 90.00 90.00
Last column: nearest neighbours and their distance in Å.
Sites, in units of the cell vectors:
H1 0.0000 0.0000 0.0000  2 Rh 1.82
Rh1 0.0000 0.0000 0.5000  2 H 1.82
Cu1 0.5000 0.5000 0.5000  8 La 3.19
La1 0.0000 0.5000 0.0000  2 H 2.62
La2 0.5000 0.0000 0.0000  2 H 2.62

Calculated values
Symmetry: No. 123
Uncorrected energy, Ry/atom: -0.3948


Record 6
Compound: BaAsRu2Br
Source: Alexandria
Functional: PBE-GGA
Structure: optimized geometry

Lattice parameters (Å, degrees): 5.3836 5.8952 5.3836 90.00 90.00 90.00
Last column: nearest neighbours and their distance in Å.
Sites, in units of the cell vectors:
Ru1 0.0000 0.0000 0.5000  2 Ba 2.69
Ru2 0.5000 0.0000 0.0000  2 Ba 2.69
As1 0.5000 0.5000 0.5000  4 Br 3.81, 8 Ru 3.99
Ba1 0.0000 0.0000 0.0000  4 Ru 2.69, 2 Br 2.95
Br1 0.0000 0.5000 0.0000  2 Ba 2.95

Calculated values
Symmetry: No. 123
Energy relative to the elements, uncorrected, kJ/mol of atoms: 186.6


Record 7
Compound: Bi2IrW
Source: Alexandria
Functional: PBE-GGA
Structure: optimized geometry

Lattice parameters (Å, degrees): 4.8736 4.8736 4.8736 60.00 60.00 60.00
Last column: nearest neighbours and their distance in Å.
Sites, in units of the cell vectors:
Ir1 0.5000 0.5000 0.5000  8 Bi 2.98
Bi1 0.2500 0.2500 0.2500  4 Ir 2.98, 4 W 2.98
Bi2 0.7500 0.7500 0.7500  4 W 2.98, 4 Ir 2.98
W1 0.0000 0.0000 0.0000  8 Bi 2.98

Calculated values
Symmetry: No. 225
Formation energy from the elements, meV per atom: 881.3


Record 8
Compound: Si3HRu
Source: Alexandria
Functional: PBE-GGA
Structure: optimized geometry

Lattice parameters (Å, degrees): 4.5626 4.5626 4.5626 90.00 90.00 90.00
Last column: nearest neighbours and their distance in Å.
Sites, in units of the cell vectors:
Ru1 0.0000 0.0000 0.0000  6 Si 2.28
Si1 0.0000 0.5000 0.0000  2 Ru 2.28
Si2 0.0000 0.0000 0.5000  2 Ru 2.28
Si3 0.5000 0.0000 0.0000  2 Ru 2.28
H1 0.5000 0.5000 0.5000  12 Si 3.23

Calculated values
Symmetry: No. 221
Uncorrected energy, Ry/atom: -0.3757


In states/eV per cell, the D(E_F) values for the records above are, in order, 0.0; 4.5; 1.3; 2.0; 2.9; 6.8; 2.2; 2.9.